The following is a PBE-GGA calculation of a geometry-optimized Tm2Zn2Ni15 structure, from Alexandria.

Unit cell a=6.275 b=6.275 c=6.275 alpha=82.62 beta=82.62 gamma=82.62
Site moments in Bohr magnetons follow the coordinates.
Fractional positions:
1 Ni 0.000 0.699 0.301  0.28
2 Ni 0.654 0.156 0.654  0.29
3 Tm 0.347 0.347 0.347  -0.07
4 Ni 0.699 0.301 0.000  0.28
5 Ni 0.699 0.000 0.301  0.28
6 Ni 0.500 0.000 0.000  0.31
7 Ni 0.654 0.654 0.156  0.29
8 Zn 0.100 0.100 0.100  -0.02
9 Ni 0.000 0.301 0.699  0.28
10 Ni 0.301 0.000 0.699  0.28
11 Zn 0.900 0.900 0.900  -0.02
12 Ni 0.844 0.346 0.346  0.29
13 Ni 0.156 0.654 0.654  0.29
14 Ni 0.346 0.844 0.346  0.29
15 Ni 0.000 0.000 0.500  0.31
16 Ni 0.000 0.500 0.000  0.31
17 Tm 0.653 0.653 0.653  -0.07
18 Ni 0.301 0.699 0.000  0.28
19 Ni 0.346 0.346 0.844  0.29

Computed properties:
- VASP energy (eV per atom) = -5.42
- formation energy from the elements (eV/f.u.) = -4.72
- V (A^3/atom) = 12.70
- SG = R-3m, No. 166



The following is a PBE-GGA calculation of a geometry-optimized KZrSi2B structure, from Alexandria.

Unit cell a=5.149 b=4.722 c=5.149 alpha=90.00 beta=90.00 gamma=90.00
Fractional positions:
1 K 0.500 0.500 0.500
2 B 0.000 0.500 0.000
3 Si 0.000 0.000 0.500
4 Si 0.500 0.000 0.000
5 Zr 0.000 0.000 0.000

Computed properties:
- formation energy from raw total energies (eV per atom) = 0.724
- VASP energy (eV per atom) = -4.71
- V (A^3/atom) = 25.04
- SG = P4/mmm, No. 123



The following is a PBE-GGA calculation of a geometry-optimized CsLi2Bi2O6 structure, from Alexandria.

Unit cell a=6.112 b=7.003 c=6.555 alpha=125.10 beta=90.67 gamma=64.02
Fractional positions:
1 O 0.426 0.665 0.939
2 O 0.574 0.335 0.061
3 O 0.108 0.887 0.607
4 O 0.982 0.441 0.158
5 Bi 0.172 0.656 0.178
6 Bi 0.828 0.344 0.822
7 Li 0.178 0.701 0.746
8 O 0.018 0.559 0.842
9 Cs 0.500 0.000 0.500
10 O 0.892 0.113 0.393
11 Li 0.822 0.299 0.254

Computed properties:
- formation energy from raw total energies (eV per atom) = -1.199
- VASP energy (eV per atom) = -5.03
- V (A^3/atom) = 17.73
- SG = P-1, No. 2